Entry 1:
## VRePBr2 (GGA-PBE)

Data for an optimized crystal structure of VRePBr2.

Electronic total energy = -24.78 eV for the cell shown

Cell lengths 5.0882, 4.7597, 5.0882 Å; angles 90.00, 90.00, 90.00 degrees
With the nearest neighbours (Å) after each atom.
Positions (direct):
Re1 0.5000 0.5000 0.5000  8 Br 3.48, 4 P 3.60
P1 0.0000 0.5000 0.0000  2 V 2.38
Br1 0.0000 0.0000 0.5000  2 V 2.54
Br2 0.5000 0.0000 0.0000  2 V 2.54
V1 0.0000 0.0000 0.0000  2 P 2.38, 4 Br 2.54


Entry 2:
## YRe2PBr (GGA-PBE)

Data for an optimized crystal structure of YRe2PBr.

Electronic total energy = -30.59 eV for the cell shown

Cell lengths 4.5427, 4.5427, 5.2843 Å; angles 90.00, 90.00, 90.00 degrees
With the nearest neighbours (Å) after each atom.
Positions (direct):
Y1 0.0000 0.0000 0.5000  2 Br 2.64
Re1 0.0000 0.5000 0.0000  2 Br 2.27
Re2 0.5000 0.0000 0.0000  2 Br 2.27
Br1 0.0000 0.0000 0.0000  4 Re 2.27
P1 0.5000 0.5000 0.5000  4 Y 3.21, 8 Re 3.48


Entry 3:
## ZrRePBr2 (GGA-PBE)

Data for an optimized crystal structure of ZrRePBr2.

Electronic total energy = -23.21 eV for the cell shown

Cell lengths 4.9004, 5.3351, 4.9004 Å; angles 90.00, 90.00, 90.00 degrees
With the nearest neighbours (Å) after each atom.
Positions (direct):
Re1 0.5000 0.5000 0.5000  4 Zr 3.47, 8 Br 3.62
Br1 0.0000 0.0000 0.5000  2 P 2.45
Br2 0.5000 0.0000 0.0000  2 P 2.45
Zr1 0.0000 0.5000 0.0000  2 P 2.67
P1 0.0000 0.0000 0.0000  4 Br 2.45, 2 Zr 2.67